The following is a PBE calculation of an optimized crystal structure of BaSr2Li2Sb2, from Alexandria.

Geometry as CIF:
```
data_BaSr2Li2Sb2
_chemical_formula_sum 'Ba3 Sr6 Li6 Sb6'
_cell_length_a 4.7868
_cell_length_b 4.7868
_cell_length_c 37.5921
_cell_angle_alpha 90.00
_cell_angle_beta 90.00
_cell_angle_gamma 120.00
_space_group_name_H-M_alt 'R -3 m'
_space_group_IT_number 166
_space_group_name_Hall '-R 3 2"'
loop_
_atom_site_label
_atom_site_type_symbol
_atom_site_fract_x
_atom_site_fract_y
_atom_site_fract_z
_atom_site_occupancy
Ba1 Ba 0.0000 0.0000 0.0000 1
Sr1 Sr 0.0000 0.0000 0.1203 1
Li1 Li 0.0000 0.0000 0.3981 1
Sb1 Sb 0.0000 0.0000 0.2698 1
```

Formation energy without anion corrections (meV per atom): -760

The following is a PBE calculation of an optimized crystal structure of BaSrLi2Sb2, from Alexandria.

Geometry as CIF:
```
data_BaSrLi2Sb2
_chemical_formula_sum 'Ba1 Sr1 Li2 Sb2'
_cell_length_a 4.8922
_cell_length_b 4.8922
_cell_length_c 8.7670
_cell_angle_alpha 90.00
_cell_angle_beta 90.00
_cell_angle_gamma 120.00
_space_group_name_H-M_alt 'P -3 m 1'
_space_group_IT_number 164
_space_group_name_Hall '-P 3 2"'
loop_
_atom_site_label
_atom_site_type_symbol
_atom_site_fract_x
_atom_site_fract_y
_atom_site_fract_z
_atom_site_occupancy
Ba1 Ba 0.0000 0.0000 0.0000 1
Sr1 Sr 0.0000 0.0000 0.5000 1
Li1 Li 0.3333 0.6667 0.7180 1
Sb1 Sb 0.3333 0.6667 0.2652 1
```

Formation energy without anion corrections (meV per atom): -948

The following is a PBE calculation of an optimized crystal structure of BaSrLiSb, from Alexandria.

Geometry as CIF:
```
data_BaSrLiSb
_chemical_formula_sum 'Ba4 Sr4 Li4 Sb4'
_cell_length_a 8.257
_cell_length_b 8.257
_cell_length_c 8.257
_cell_angle_alpha 90.00
_cell_angle_beta 90.00
_cell_angle_gamma 90.00
_space_group_name_H-M_alt 'F -4 3 m'
_space_group_IT_number 216
_space_group_name_Hall 'F -4 2 3'
loop_
_atom_site_label
_atom_site_type_symbol
_atom_site_fract_x
_atom_site_fract_y
_atom_site_fract_z
_atom_site_occupancy
Ba1 Ba 0.000 0.000 0.000 1
Sr1 Sr 0.000 0.000 0.500 1
Li1 Li 0.250 0.250 0.750 1
Sb1 Sb 0.250 0.250 0.250 1
```

Formation energy without anion corrections (meV per atom): -538

Number 1: spin magnetization 0.0 μB per formula unit, calculated total energy -3.240 eV/atom. Number 2: spin magnetization 0.0 μB per formula unit, calculated total energy -3.561 eV/atom. Number 3: spin magnetization 0.0 μB per formula unit, calculated total energy -2.949 eV/atom.